[1]
A geometry-optimized LaLuInPt structure. Source: Alexandria via LeMat-Bulk, functional PBE-GGA.

a = 5.221 Å, b = 5.221 Å, c = 5.221 Å
α = 60.00°, β = 60.00°, γ = 60.00°
Element x y z (fractional)
Lu 0.500 0.500 0.500
Pt 0.750 0.750 0.750
La 0.000 0.000 0.000
In 0.250 0.250 0.250

---

[2]
A geometry-optimized LaLuScIn structure. Source: Alexandria via LeMat-Bulk, functional PBE-GGA.

a = 5.390 Å, b = 5.390 Å, c = 5.390 Å
α = 60.00°, β = 60.00°, γ = 60.00°
Element x y z (fractional)
Sc 0.000 0.000 0.000
La 0.500 0.500 0.500
Lu 0.750 0.750 0.750
In 0.250 0.250 0.250

---

[3]
A geometry-optimized LaLuInSn structure. Source: Alexandria via LeMat-Bulk, functional PBE-GGA.

a = 5.426 Å, b = 5.426 Å, c = 5.426 Å
α = 60.00°, β = 60.00°, γ = 60.00°
Element x y z (fractional)
La 0.500 0.500 0.500
Sn 0.250 0.250 0.250
In 0.750 0.750 0.750
Lu 0.000 0.000 0.000

---

[4]
A geometry-optimized LaLuThIn structure. Source: Alexandria via LeMat-Bulk, functional PBE-GGA.

a = 5.567 Å, b = 5.567 Å, c = 5.567 Å
α = 60.00°, β = 60.00°, γ = 60.00°
Element x y z (fractional)
La 0.250 0.250 0.250
In 0.000 0.000 0.000
Th 0.750 0.750 0.750
Lu 0.500 0.500 0.500

---

no.,ΔH_f (0 K) (eV/atom),final energy (eV per cell),D(E_F) (states/eV/f.u.)
1,-0.69,-20.982,3.69
2,-0.14,-19.098,6.49
3,-0.51,-18.221,3.63
4,-0.08,-19.911,4.04